Version A
Computed, not measured: a relaxed Tm4AgRu crystal at the PBE-GGA level of DFT.

Summary:
The symmetry is F-43m (216). As for the mass density: 9.99 g/cm3.

Lattice parameters (Å, degrees): 9.4058 9.4058 9.4058 60.00 60.00 60.00
With the nearest neighbours (Å) after each atom.
Sites, in units of the cell vectors:
1 Tm 0.4006 0.4006 0.4006  3 Ru 2.78
2 Tm 0.7982 0.4006 0.4006  3 Ru 2.78
3 Tm 0.4006 0.7982 0.4006  3 Ru 2.78
4 Tm 0.4006 0.4006 0.7982  3 Ru 2.78
5 Tm 0.5614 0.5614 0.9386  2 Ru 2.72
6 Tm 0.9386 0.9386 0.5614  2 Ru 2.72
7 Tm 0.5614 0.9386 0.5614  2 Ru 2.72
8 Tm 0.9386 0.5614 0.9386  2 Ru 2.72
9 Tm 0.9386 0.5614 0.5614  2 Ru 2.72
10 Tm 0.5614 0.9386 0.9386  2 Ru 2.72
11 Tm 0.1890 0.1890 0.8110  2 Ag 3.16, 6 Tm 3.38-3.52, 2 Ru 3.38
12 Tm 0.8110 0.8110 0.1890  2 Ag 3.16, 6 Tm 3.38-3.52, 2 Ru 3.38
13 Tm 0.1890 0.8110 0.1890  2 Ag 3.16, 6 Tm 3.38-3.52, 2 Ru 3.38
14 Tm 0.8110 0.1890 0.8110  2 Ag 3.16, 6 Tm 3.38-3.52, 2 Ru 3.38
15 Tm 0.8110 0.1890 0.1890  2 Ag 3.16, 6 Tm 3.38-3.52, 2 Ru 3.38
16 Tm 0.1890 0.8110 0.8110  2 Ag 3.16, 6 Tm 3.38-3.52, 2 Ru 3.38
17 Ag 0.1676 0.1676 0.1676  3 Ag 3.10, 9 Tm 3.16-3.42
18 Ag 0.4973 0.1676 0.1676  3 Ag 3.10, 9 Tm 3.16-3.42
19 Ag 0.1676 0.4973 0.1676  3 Ag 3.10, 9 Tm 3.16-3.42
20 Ag 0.1676 0.1676 0.4973  3 Ag 3.10, 9 Tm 3.16-3.42
21 Ru 0.6091 0.6091 0.6091  6 Tm 2.72-2.78
22 Ru 0.1726 0.6091 0.6091  6 Tm 2.72-2.78
23 Ru 0.6091 0.1726 0.6091  6 Tm 2.72-2.78
24 Ru 0.6091 0.6091 0.1726  6 Tm 2.72-2.78

***

Version B
Computed, not measured: a relaxed Tm4AgRu crystal at the PBE-GGA level of DFT.

Summary:
The symmetry is I4_1md (109). As for the mass density: 8.19 g/cm3.

Lattice parameters (Å, degrees): 7.7693 7.7693 7.7693 106.91 106.91 114.73
With the nearest neighbours (Å) after each atom.
Sites, in units of the cell vectors:
1 Tm 0.2697 0.9624 0.6927  1 Ru 2.65, 2 Ag 2.85-2.91
2 Tm 0.7311 0.4393 0.7082  2 Ru 2.71, 1 Ag 2.93
3 Tm 0.7124 0.5197 0.1927  1 Ru 2.65, 2 Ag 2.85-2.91
4 Tm 0.1893 0.9811 0.2082  2 Ru 2.71, 1 Ag 2.93
5 Tm 0.3270 0.5197 0.8073  1 Ru 2.65, 2 Ag 2.85-2.91
6 Tm 0.7729 0.9811 0.7918  2 Ru 2.71, 1 Ag 2.93
7 Tm 0.7311 0.0229 0.2918  2 Ru 2.71, 1 Ag 2.93
8 Tm 0.2697 0.5770 0.3073  1 Ru 2.65, 2 Ag 2.85-2.91
9 Ag 0.2448 0.2448 0.0000  6 Tm 2.85-2.93
10 Ag 0.9948 0.4948 0.5000  6 Tm 2.85-2.93
11 Ru 0.7536 0.7536 0.0000  6 Tm 2.65-2.71
12 Ru 0.5036 0.0036 0.5000  6 Tm 2.65-2.71

***

What should be chosen as the least stable of them? Choose version B.

***

Version A
Computed, not measured: a relaxed VAg3Ru crystal at the PBE-GGA level of DFT.

Summary:
The symmetry is Pm-3m (221). As for the mass density: 7.08 g/cm3.

Lattice parameters (Å, degrees): 4.8127 4.8127 4.8127 90.00 90.00 90.00
With the nearest neighbours (Å) after each atom.
Sites, in units of the cell vectors:
1 Ru 0.5000 0.5000 0.5000  12 Ag 3.40
2 Ag 0.0000 0.5000 0.0000  2 V 2.41
3 Ag 0.0000 0.0000 0.5000  2 V 2.41
4 Ag 0.5000 0.0000 0.0000  2 V 2.41
5 V 0.0000 0.0000 0.0000  6 Ag 2.41

***

Version B
Computed, not measured: a relaxed VAg3Ru crystal at the PBE-GGA level of DFT.

Summary:
The symmetry is Pm-3m (221). As for the mass density: 6.32 g/cm3.

Lattice parameters (Å, degrees): 4.9996 4.9996 4.9996 90.00 90.00 90.00
With the nearest neighbours (Å) after each atom.
Sites, in units of the cell vectors:
1 Ru 0.0000 0.0000 0.0000  6 Ag 2.50
2 Ag 0.0000 0.5000 0.0000  2 Ru 2.50
3 Ag 0.0000 0.0000 0.5000  2 Ru 2.50
4 Ag 0.5000 0.0000 0.0000  2 Ru 2.50
5 V 0.5000 0.5000 0.5000  12 Ag 3.54

***

What should be chosen as the least stable of them? Choose version A.

***

Version A
Computed, not measured: a relaxed AgRuW2 crystal at the PBE-GGA level of DFT.

Summary:
The symmetry is Cmmm (65). As for the mass density: 14.83 g/cm3.

Lattice parameters (Å, degrees): 2.7231 2.7231 9.4671 90.00 90.00 113.15
With the nearest neighbours (Å) after each atom.
Sites, in units of the cell vectors:
1 Ag 0.5000 0.5000 0.2500  6 Ag 2.72-3.00, 4 W 2.93
2 Ru 0.5000 0.5000 0.7500  4 W 2.67, 4 Ru 2.72
3 W 0.0000 0.0000 0.9838  2 Ru 2.67, 4 W 2.72, 2 Ag 2.93
4 W 0.0000 0.0000 0.5162  2 Ru 2.67, 4 W 2.72, 2 Ag 2.93

***

Version B
Computed, not measured: a relaxed AgRuW2 crystal at the PBE-GGA level of DFT.

Summary:
The symmetry is I4/mmm (139). As for the mass density: 15.29 g/cm3.

Lattice parameters (Å, degrees): 4.9459 4.9459 4.9459 133.47 133.47 67.91
With the nearest neighbours (Å) after each atom.
Sites, in units of the cell vectors:
1 Ag 0.2500 0.7500 0.5000  4 Ru 2.76, 8 W 2.83
2 Ru 0.7500 0.2500 0.5000  4 Ag 2.76, 8 W 2.83
3 W 0.0000 0.0000 0.0000  4 W 2.76, 4 Ru 2.83, 4 Ag 2.83
4 W 0.5000 0.5000 0.0000  4 W 2.76, 4 Ag 2.83, 4 Ru 2.83

***

What should be chosen as the least stable of them? Choose version B.

***

Version A
Computed, not measured: a relaxed AgRuW2 crystal at the PBE-GGA level of DFT.

Summary:
The symmetry is P4/mmm (123). As for the mass density: 15.32 g/cm3.

Lattice parameters (Å, degrees): 3.9136 3.9136 4.0798 90.00 90.00 90.00
With the nearest neighbours (Å) after each atom.
Sites, in units of the cell vectors:
1 Ag 0.5000 0.0000 0.5000  4 Ru 2.77, 8 W 2.83
2 Ru 0.0000 0.5000 0.5000  4 Ag 2.77, 8 W 2.83
3 W 0.0000 0.0000 0.0000  4 W 2.77, 4 Ru 2.83, 4 Ag 2.83
4 W 0.5000 0.5000 0.0000  4 W 2.77, 4 Ru 2.83, 4 Ag 2.83

***

Version B
Computed, not measured: a relaxed AgRuW2 crystal at the PBE-GGA level of DFT.

Summary:
The symmetry is R3m (160). As for the mass density: 14.87 g/cm3.

Lattice parameters (Å, degrees): 9.6819 9.6819 9.6819 16.57 16.57 16.57
With the nearest neighbours (Å) after each atom.
Sites, in units of the cell vectors:
1 Ag 0.4983 0.4983 0.4983  6 Ag 2.79, 3 Ru 2.95, 3 W 2.97
2 Ru 0.7452 0.7452 0.7452  3 W 2.67, 6 Ru 2.79, 3 Ag 2.95
3 W 0.0045 0.0045 0.0045  3 Ru 2.67, 9 W 2.79-2.94
4 W 0.2520 0.2520 0.2520  9 W 2.79-2.94, 3 Ag 2.97

***

What should be chosen as the least stable of them? Choose version A.